1.
DFT (GGA-PBE) results for an optimized crystal structure of AsPbI6.

a b c (Å): 7.4874 7.4841 8.0351
angles (deg): 62.16 62.19 59.94
Last column: nearest neighbours and their distance in Å.
Atoms (fractional coordinates):
I (0.5883, 0.2267, 0.2370)  1 As 2.88
I (0.7736, 0.0516, 0.7633)  1 As 2.88
I (0.0517, 0.4119, 0.7627)  1 As 2.88
I (0.9483, 0.5881, 0.2373)  1 As 2.88
I (0.4117, 0.7733, 0.7630)  1 As 2.88
I (0.2264, 0.9484, 0.2367)  1 As 2.88
As (0.0000, 0.0000, 0.0000)  6 I 2.88
Pb (0.5000, 0.5000, 0.5000)  6 I 3.23

Raw total energy (eV per atom): -2.40
ΔE_f (raw) (kJ/mol of atoms): -18
Space-group type: P-1
Spin magnetization (μB per atom): 0.00

2.
DFT (GGA-PBE) results for an optimized crystal structure of As2PbI.

a b c (Å): 5.2459 5.2459 5.2459
angles (deg): 60.00 60.00 60.00
Last column: nearest neighbours and their distance in Å.
Atoms (fractional coordinates):
I (0.0000, 0.0000, 0.0000)  8 As 3.21
Pb (0.5000, 0.5000, 0.5000)  8 As 3.21
As (0.7500, 0.7500, 0.7500)  4 Pb 3.21, 4 I 3.21
As (0.2500, 0.2500, 0.2500)  4 Pb 3.21, 4 I 3.21

Raw total energy (eV per atom): -3.12
ΔE_f (raw) (kJ/mol of atoms): 50
Space-group type: Fm-3m
Spin magnetization (μB per atom): 0.00
Offset from the most stable computed form (eV/atom): 0.055

3.
DFT (GGA-PBE) results for an optimized crystal structure of AsPb4I5.

a b c (Å): 4.5608 9.1591 12.1778
angles (deg): 124.02 100.79 90.00
Last column: nearest neighbours and their distance in Å.
Atoms (fractional coordinates):
Pb (0.3483, 0.7756, 0.6965)  1 As 2.98, 4 I 3.25-3.29
Pb (0.0014, 0.7763, 0.0029)  2 As 3.08, 4 I 3.23-3.39
Pb (0.6517, 0.2244, 0.3035)  1 As 2.98, 4 I 3.25-3.29
Pb (0.9986, 0.2237, 0.9971)  2 As 3.08, 4 I 3.23-3.39
I (0.1674, 0.5043, 0.3348)  4 Pb 3.29-3.56
I (0.8326, 0.4957, 0.6652)  4 Pb 3.29-3.56
I (0.8347, 0.0059, 0.6695)  3 Pb 3.23-3.25
I (0.1653, 0.9941, 0.3305)  3 Pb 3.23-3.25
I (0.5000, 0.5000, 0.0000)  4 Pb 3.39
As (0.5000, 0.0000, 0.0000)  6 Pb 2.98-3.08

Raw total energy (eV per atom): -3.22
ΔE_f (raw) (kJ/mol of atoms): -48
Space-group type: C2/m
Spin magnetization (μB per atom): 0.00

4.
DFT (GGA-PBE) results for an optimized crystal structure of As2Pb4I3.

a b c (Å): 4.4088 4.4088 19.1377
angles (deg): 90.04 89.96 120.00
Last column: nearest neighbours and their distance in Å.
Atoms (fractional coordinates):
I (0.0000, 0.0000, 0.0000)  6 Pb 3.52
I (0.6656, 0.3344, 0.4036)  3 Pb 3.26
I (0.3344, 0.6656, 0.5964)  3 Pb 3.26
Pb (0.3339, 0.6661, 0.8729)  3 As 2.95
Pb (0.0010, 0.9990, 0.7030)  3 As 3.09, 3 I 3.26
Pb (0.9990, 0.0010, 0.2970)  3 As 3.09, 3 I 3.26
Pb (0.6661, 0.3339, 0.1271)  3 As 2.95
As (0.6674, 0.3326, 0.7949)  6 Pb 2.95-3.09
As (0.3326, 0.6674, 0.2051)  6 Pb 2.95-3.09

Raw total energy (eV per atom): -3.49
ΔE_f (raw) (kJ/mol of atoms): -29
Space-group type: C2/m
Spin magnetization (μB per atom): 0.00

5.
DFT (GGA-PBE) results for an optimized crystal structure of AsPb2I2.

a b c (Å): 5.1906 5.1906 8.0095
angles (deg): 71.09 71.09 90.00
Last column: nearest neighbours and their distance in Å.
Atoms (fractional coordinates):
I (0.2500, 0.7500, 0.5000)  4 Pb 3.24
I (0.7500, 0.2500, 0.5000)  4 Pb 3.24
As (0.0000, 0.0000, 0.0000)  8 Pb 4.01, 8 I 4.41
Pb (0.6133, 0.6133, 0.7734)  1 Pb 3.23, 4 I 3.24
Pb (0.3867, 0.3867, 0.2266)  1 Pb 3.23, 4 I 3.24

Raw total energy (eV per atom): -2.73
ΔE_f (raw) (kJ/mol of atoms): 29
Space-group type: I4/mmm
Spin magnetization (μB per atom): 0.21
Offset from the most stable computed form (eV/atom): 0.369

6.
DFT (GGA-PBE) results for an optimized crystal structure of Pr4AsPbI2.

a b c (Å): 4.4654 7.8370 8.1329
angles (deg): 108.50 90.00 90.00
Last column: nearest neighbours and their distance in Å.
Atoms (fractional coordinates):
I (0.0000, 0.5000, 0.5000)  6 Pr 3.35-3.37
I (0.5000, 0.0000, 0.5000)  6 Pr 3.52-3.55
Pr (0.0000, 0.7160, 0.2024)  2 As 2.96, 1 Pb 3.16
Pr (0.0000, 0.2840, 0.7976)  2 As 2.96, 1 Pb 3.16
Pr (0.5000, 0.7412, 0.7884)  1 As 2.93, 2 Pb 3.14
Pr (0.5000, 0.2588, 0.2116)  1 As 2.93, 2 Pb 3.14
As (0.5000, 0.5000, 0.0000)  6 Pr 2.93-2.96
Pb (0.0000, 0.0000, 0.0000)  6 Pr 3.14-3.16

Raw total energy (eV per atom): -4.86
ΔE_f (raw) (kJ/mol of atoms): -100
Space-group type: P2/m
Spin magnetization (μB per atom): 0.00

7.
DFT (GGA-PBE) results for an optimized crystal structure of AsPbS2I.

a b c (Å): 4.9228 5.5221 4.9228
angles (deg): 90.00 90.00 90.00
Last column: nearest neighbours and their distance in Å.
Atoms (fractional coordinates):
I (0.0000, 0.5000, 0.0000)  2 As 2.76
As (0.0000, 0.0000, 0.0000)  4 S 2.46
S (0.0000, 0.0000, 0.5000)  2 As 2.46
S (0.5000, 0.0000, 0.0000)  2 As 2.46
Pb (0.5000, 0.5000, 0.5000)  4 I 3.48, 8 S 3.70

Raw total energy (eV per atom): -3.52
ΔE_f (raw) (kJ/mol of atoms): 11
Space-group type: P4/mmm
Spin magnetization (μB per atom): 0.00

8.
DFT (GGA-PBE) results for an optimized crystal structure of AsPb2S3I.

a b c (Å): 6.8330 10.0243 11.8292
angles (deg): 90.00 90.00 90.00
Last column: nearest neighbours and their distance in Å.
Atoms (fractional coordinates):
Pb (0.7500, 0.7755, 0.1839)  2 S 2.84, 1 I 3.18
Pb (0.2500, 0.2755, 0.3162)  2 S 2.84, 1 I 3.18
Pb (0.7500, 0.7245, 0.6838)  2 S 2.84, 1 I 3.18
Pb (0.2500, 0.7873, 0.3840)  3 S 2.81-2.85
Pb (0.7500, 0.2127, 0.6160)  3 S 2.81-2.85
Pb (0.7500, 0.2873, 0.1160)  3 S 2.81-2.85
Pb (0.2500, 0.7127, 0.8840)  3 S 2.81-2.85
Pb (0.2500, 0.2245, 0.8162)  2 S 2.84, 1 I 3.18
S (0.5033, 0.9124, 0.7942)  1 As 2.29
S (0.7500, 0.3142, 0.3945)  1 As 2.27
S (0.0033, 0.0876, 0.2058)  1 As 2.29
S (0.7500, 0.1858, 0.8945)  1 As 2.27
S (0.0033, 0.4124, 0.7058)  1 As 2.29
S (0.9967, 0.9124, 0.7942)  1 As 2.29
S (0.5033, 0.5876, 0.2942)  1 As 2.29
S (0.2500, 0.6858, 0.6055)  1 As 2.27
S (0.4967, 0.4124, 0.7058)  1 As 2.29
S (0.9967, 0.5876, 0.2942)  1 As 2.29
S (0.4967, 0.0876, 0.2058)  1 As 2.29
S (0.2500, 0.8142, 0.1055)  1 As 2.27
As (0.2500, 0.4613, 0.5821)  3 S 2.27-2.29
As (0.7500, 0.9613, 0.9179)  3 S 2.27-2.29
As (0.7500, 0.5387, 0.4179)  3 S 2.27-2.29
As (0.2500, 0.0387, 0.0821)  3 S 2.27-2.29
I (0.2500, 0.3971, 0.0421)  2 Pb 3.18-3.46
I (0.7500, 0.8971, 0.4579)  2 Pb 3.18-3.46
I (0.7500, 0.6029, 0.9579)  2 Pb 3.18-3.46
I (0.2500, 0.1029, 0.5421)  2 Pb 3.18-3.46

Raw total energy (eV per atom): -4.13
ΔE_f (raw) (kJ/mol of atoms): -40
Space-group type: Pnma
Spin magnetization (μB per atom): 0.00

9.
DFT (GGA-PBE) results for an optimized crystal structure of AsPbSI2.

a b c (Å): 6.2900 5.0975 6.2900
angles (deg): 90.00 90.00 90.00
Last column: nearest neighbours and their distance in Å.
Atoms (fractional coordinates):
I (0.0000, 0.0000, 0.5000)  2 Pb 3.15
I (0.5000, 0.0000, 0.0000)  2 Pb 3.15
Pb (0.0000, 0.0000, 0.0000)  2 S 2.55
As (0.5000, 0.5000, 0.5000)  8 I 4.05, 4 S 4.45
S (0.0000, 0.5000, 0.0000)  2 Pb 2.55

Raw total energy (eV per atom): -2.53
ΔE_f (raw) (kJ/mol of atoms): 56
Space-group type: P4/mmm
Spin magnetization (μB per atom): 0.38

10.
DFT (GGA-PBE) results for an optimized crystal structure of SbAsPbI2.

a b c (Å): 6.1472 6.1472 6.1890
angles (deg): 90.00 90.00 90.00
Last column: nearest neighbours and their distance in Å.
Atoms (fractional coordinates):
As (0.5000, 0.5000, 0.5000)  4 Sb 4.35, 8 I 4.36
Sb (0.0000, 0.0000, 0.5000)  2 Pb 3.09
Pb (0.0000, 0.0000, 0.0000)  4 I 3.07, 2 Sb 3.09
I (0.5000, 0.0000, 0.0000)  2 Pb 3.07
I (0.0000, 0.5000, 0.0000)  2 Pb 3.07

Raw total energy (eV per atom): -2.45
ΔE_f (raw) (kJ/mol of atoms): 64
Space-group type: P4/mmm
Spin magnetization (μB per atom): 0.15
Offset from the most stable computed form (eV/atom): 0.382

11.
DFT (GGA-PBE) results for an optimized crystal structure of Sb2AsPb6I3.

a b c (Å): 7.9579 7.9579 8.2776
angles (deg): 99.24 99.24 119.96
Last column: nearest neighbours and their distance in Å.
Atoms (fractional coordinates):
Pb (0.3881, 0.0686, 0.2062)  1 As 3.01, 2 Sb 3.16
Pb (0.0686, 0.3881, 0.2062)  1 As 3.01, 2 Sb 3.16
Pb (0.2494, 0.2494, 0.7929)  1 As 3.01, 2 Sb 3.16
Pb (0.7506, 0.7506, 0.2071)  1 As 3.01, 2 Sb 3.16
Pb (0.9314, 0.6119, 0.7938)  1 As 3.01, 2 Sb 3.16
Pb (0.6119, 0.9314, 0.7938)  1 As 3.01, 2 Sb 3.16
I (0.5000, 0.5000, 0.5000)  6 Pb 3.47-3.60
I (0.8275, 0.1725, 0.5000)  6 Pb 3.48-3.54
I (0.1725, 0.8275, 0.5000)  6 Pb 3.48-3.54
Sb (0.6659, 0.3341, 0.0000)  6 Pb 3.16
Sb (0.3341, 0.6659, 0.0000)  6 Pb 3.16
As (0.0000, 0.0000, 0.0000)  6 Pb 3.01

Raw total energy (eV per atom): -3.58
ΔE_f (raw) (kJ/mol of atoms): -26
Space-group type: C2/m
Spin magnetization (μB per atom): 0.00

12.
DFT (GGA-PBE) results for an optimized crystal structure of SbAsPbI2.

a b c (Å): 5.6539 5.6539 5.8474
angles (deg): 90.00 90.00 90.00
Last column: nearest neighbours and their distance in Å.
Atoms (fractional coordinates):
As (0.0000, 0.0000, 0.0000)  4 I 2.83, 2 Sb 2.92
Pb (0.5000, 0.5000, 0.5000)  4 Sb 4.00, 8 I 4.07
I (0.5000, 0.0000, 0.0000)  2 As 2.83
I (0.0000, 0.5000, 0.0000)  2 As 2.83
Sb (0.0000, 0.0000, 0.5000)  2 As 2.92

Raw total energy (eV per atom): -2.84
ΔE_f (raw) (kJ/mol of atoms): 27
Space-group type: P4/mmm
Spin magnetization (μB per atom): 0.00
Offset from the most stable computed form (eV/atom): 0.000